1.
The following is a meta-GGA SCAN calculation of a PBEsol-optimized structure of IrRuPt2, from Alexandria via LeMat-Bulk.

Summary:
The formation energy is 0.006 eV/atom. For the excess energy over the best structure of this formula in the dataset, the calculation gives 5.18 kJ per mole of atoms. Its calculated total energy is -246.29 eV/cell.

a b c (Å): 4.728 4.728 4.728
angles (deg): 132.08 132.08 70.10
Fractional coordinates of all 4 atoms:
Ir 0.000 0.000 0.000
Ru 0.250 0.750 0.500
Pt 0.500 0.500 0.000
Pt 0.750 0.250 0.500

=====

2.
The following is a meta-GGA SCAN calculation of a PBEsol-optimized structure of PrTm3, from Alexandria via LeMat-Bulk.

Summary:
The formation energy is 0.018 eV/atom. For the excess energy over the best structure of this formula in the dataset, the calculation gives 0.00 kJ per mole of atoms. Its calculated total energy is -397.50 eV/cell.

a b c (Å): 7.072 7.072 5.560
angles (deg): 90.00 90.00 120.00
Fractional coordinates of all 8 atoms:
Pr 0.333 0.667 0.250
Pr 0.667 0.333 0.750
Tm 0.165 0.330 0.750
Tm 0.165 0.835 0.750
Tm 0.330 0.165 0.250
Tm 0.670 0.835 0.750
Tm 0.835 0.165 0.250
Tm 0.835 0.670 0.250

=====

3.
The following is a meta-GGA SCAN calculation of a PBEsol-optimized structure of LaHfMn3, from Alexandria via LeMat-Bulk.

Summary:
The formation energy is 0.509 eV/atom. Its calculated total energy is -158.00 eV/cell.

a b c (Å): 4.779 4.779 4.779
angles (deg): 90.00 90.00 90.00
Fractional coordinates of all 5 atoms:
La 0.000 0.000 0.000
Hf 0.500 0.500 0.500
Mn 0.000 0.500 0.500
Mn 0.500 0.000 0.500
Mn 0.500 0.500 0.000

=====

4.
The following is a meta-GGA SCAN calculation of a PBEsol-optimized structure of CrSiAu2, from Alexandria via LeMat-Bulk.

Summary:
Its calculated total energy is -166.74 eV/cell. Its uncorrected formation energy is -7 meV per atom.

a b c (Å): 3.912 3.912 3.961
angles (deg): 90.00 90.00 90.00
Fractional coordinates of all 4 atoms:
Cr 0.000 0.000 0.000
Si 0.500 0.500 0.000
Au 0.000 0.500 0.500
Au 0.500 0.000 0.500

=====

5.
The following is a meta-GGA SCAN calculation of a PBEsol-optimized structure of Cr3W, from Alexandria via LeMat-Bulk.

Summary:
The formation energy is -0.022 eV/atom. Its calculated total energy is -499.73 eV/cell.

a b c (Å): 5.828 5.828 5.844
angles (deg): 90.23 90.23 89.44
Fractional coordinates of all 16 atoms:
Cr 0.000 0.000 0.000
Cr 0.000 0.000 0.492
Cr 0.000 0.506 0.492
Cr 0.001 0.507 0.000
Cr 0.249 0.755 0.250
Cr 0.252 0.755 0.742
Cr 0.506 0.000 0.492
Cr 0.506 0.506 0.494
Cr 0.507 0.001 0.000
Cr 0.755 0.249 0.250
Cr 0.755 0.252 0.742
Cr 0.757 0.757 0.248
W 0.248 0.248 0.743
W 0.249 0.249 0.249
W 0.508 0.508 0.001
W 0.758 0.758 0.741

=====

6.
The following is a meta-GGA SCAN calculation of a PBEsol-optimized structure of NiPHCl2, from Alexandria via LeMat-Bulk.

Summary:
For the excess energy over the best structure of this formula in the dataset, the calculation gives 12.84 kJ per mole of atoms. Its calculated total energy is -42.66 eV/cell.

a b c (Å): 4.612 4.612 3.195
angles (deg): 90.00 90.00 90.00
Fractional coordinates of all 5 atoms:
Ni 0.000 0.000 0.000
P 0.500 0.500 0.000
H 0.500 0.500 0.500
Cl 0.000 0.500 0.500
Cl 0.500 0.000 0.500

=====

7.
The following is a meta-GGA SCAN calculation of a PBEsol-optimized structure of CeSi2Ag, from Alexandria via LeMat-Bulk.

Summary:
Its calculated total energy is -195.97 eV/cell. Its uncorrected formation energy is -505 meV per atom.

a b c (Å): 8.996 8.996 4.123
angles (deg): 90.00 90.00 153.54
Fractional coordinates of all 8 atoms:
Ce 0.096 0.904 0.750
Ce 0.904 0.096 0.250
Si 0.337 0.663 0.750
Si 0.468 0.532 0.750
Si 0.532 0.468 0.250
Si 0.663 0.337 0.250
Ag 0.249 0.751 0.250
Ag 0.751 0.249 0.750

=====

8.
The following is a meta-GGA SCAN calculation of a PBEsol-optimized structure of TaRe2Pt, from Alexandria via LeMat-Bulk.

Summary:
The formation energy is -0.374 eV/atom. For the excess energy over the best structure of this formula in the dataset, the calculation gives 0.00 kJ per mole of atoms. Its calculated total energy is -280.47 eV/cell.

a b c (Å): 3.898 3.898 3.995
angles (deg): 90.00 90.00 90.00
Fractional coordinates of all 4 atoms:
Ta 0.000 0.000 0.000
Re 0.000 0.500 0.500
Re 0.500 0.000 0.500
Pt 0.500 0.500 0.000